This record from Alexandria via LeMat-Bulk describes a relaxed Sm3Th2Sc crystal. The functional is PBE.

## Properties
- energy above the lowest structure with this stoichiometry (meV/atom) = 0
- ΔH_f (0 K) (eV/atom) = 0.0479
- crystal system = monoclinic

Structure (CIF):
```
data_Sm3Th2Sc
_symmetry_space_group_name_H-M 'P 1 21/m 1'
_symmetry_Int_Tables_number 11
_symmetry_space_group_name_Hall '-P 2yb'
_cell_length_a 9.972
_cell_length_b 3.577
_cell_length_c 10.623
_cell_angle_alpha 90.00
_cell_angle_beta 90.72
_cell_angle_gamma 90.00
loop_
_atom_site_label
_atom_site_type_symbol
_atom_site_fract_x
_atom_site_fract_y
_atom_site_fract_z
Sm1 Sm 0.121 0.250 0.251
Sm2 Sm 0.144 0.250 0.915
Sm3 Sm 0.373 0.750 0.414
Th1 Th 0.128 0.250 0.584
Th2 Th 0.388 0.750 0.086
Sc1 Sc 0.373 0.750 0.749
```